The following is a PBE calculation of an optimized crystal structure of KAl2MoPb, from Alexandria.

Output
calculated total energy = -2.62 eV/atom
DFT formation energy = 2.002 eV per atom
density of states at the Fermi level = 0.736 states/eV/atom
space group = P4/mmm, No. 123

Cell and atoms, written as CIF:
```
data_KAl2MoPb
_chemical_formula_sum 'K1 Al2 Mo1 Pb1'
_symmetry_space_group_name_H-M 'P 1'
_symmetry_Int_Tables_number 1
_cell_length_a 5.494
_cell_length_b 5.494
_cell_length_c 5.469
_cell_angle_alpha 90.00
_cell_angle_beta 90.00
_cell_angle_gamma 90.00
loop_
_symmetry_equiv_pos_as_xyz
'x,y,z'
loop_
_atom_site_label
_atom_site_fract_x
_atom_site_fract_y
_atom_site_fract_z
K1 0.000 0.000 0.000
Al1 0.000 0.500 0.000
Al2 0.500 0.000 0.000
Mo1 0.000 0.000 0.500
Pb1 0.500 0.500 0.500
```

The following is a PBE calculation of an optimized crystal structure of KAlRe2Mo, from Alexandria.

Output
calculated total energy = -5.71 eV/atom
DFT formation energy = 2.407 eV per atom
density of states at the Fermi level = 1.736 states/eV/atom
space group = P4/mmm, No. 123

Cell and atoms, written as CIF:
```
data_KAlRe2Mo
_chemical_formula_sum 'K1 Al1 Re2 Mo1'
_symmetry_space_group_name_H-M 'P 1'
_symmetry_Int_Tables_number 1
_cell_length_a 4.625
_cell_length_b 4.625
_cell_length_c 4.751
_cell_angle_alpha 90.00
_cell_angle_beta 90.00
_cell_angle_gamma 90.00
loop_
_symmetry_equiv_pos_as_xyz
'x,y,z'
loop_
_atom_site_label
_atom_site_fract_x
_atom_site_fract_y
_atom_site_fract_z
K1 0.000 0.000 0.000
Al1 0.000 0.000 0.500
Re1 0.000 0.500 0.500
Re2 0.500 0.000 0.500
Mo1 0.500 0.500 0.000
```

The following is a PBE calculation of an optimized crystal structure of K2AlTlMo, from Alexandria.

Output
calculated total energy = -2.56 eV/atom
DFT formation energy = 1.267 eV per atom
density of states at the Fermi level = 0.518 states/eV/atom
space group = P4/mmm, No. 123

Cell and atoms, written as CIF:
```
data_K2AlTlMo
_chemical_formula_sum 'K2 Al1 Tl1 Mo1'
_symmetry_space_group_name_H-M 'P 1'
_symmetry_Int_Tables_number 1
_cell_length_a 6.704
_cell_length_b 6.704
_cell_length_c 5.110
_cell_angle_alpha 90.00
_cell_angle_beta 90.00
_cell_angle_gamma 90.00
loop_
_symmetry_equiv_pos_as_xyz
'x,y,z'
loop_
_atom_site_label
_atom_site_fract_x
_atom_site_fract_y
_atom_site_fract_z
K1 0.000 0.500 0.000
K2 0.500 0.000 0.000
Al1 0.000 0.000 0.500
Tl1 0.000 0.000 0.000
Mo1 0.500 0.500 0.500
```

The following is a PBE calculation of an optimized crystal structure of KAl2VMo, from Alexandria.

Output
calculated total energy = -4.11 eV/atom
DFT formation energy = 1.596 eV per atom
density of states at the Fermi level = 0.896 states/eV/atom
space group = P4/mmm, No. 123

Cell and atoms, written as CIF:
```
data_KAl2VMo
_chemical_formula_sum 'K1 Al2 V1 Mo1'
_symmetry_space_group_name_H-M 'P 1'
_symmetry_Int_Tables_number 1
_cell_length_a 4.980
_cell_length_b 4.980
_cell_length_c 5.351
_cell_angle_alpha 90.00
_cell_angle_beta 90.00
_cell_angle_gamma 90.00
loop_
_symmetry_equiv_pos_as_xyz
'x,y,z'
loop_
_atom_site_label
_atom_site_fract_x
_atom_site_fract_y
_atom_site_fract_z
K1 0.000 0.000 0.000
Al1 0.000 0.500 0.500
Al2 0.500 0.000 0.500
V1 0.000 0.000 0.500
Mo1 0.500 0.500 0.000
```

The following is a PBE calculation of an optimized crystal structure of K2AlN, from Alexandria.

Output
offset from the most stable computed form = 1082 meV per atom
calculated total energy = -2.44 eV/atom
formation energy (no corrections) = 1.127 eV/atom
density of states at the Fermi level = 0.000 states/eV/atom
space group = Fm-3m, No. 225

Cell and atoms, written as CIF:
```
data_K2AlN
_chemical_formula_sum 'K8 Al4 N4'
_symmetry_space_group_name_H-M 'P 1'
_symmetry_Int_Tables_number 1
_cell_length_a 7.368
_cell_length_b 7.368
_cell_length_c 7.368
_cell_angle_alpha 90.00
_cell_angle_beta 90.00
_cell_angle_gamma 90.00
loop_
_symmetry_equiv_pos_as_xyz
'x,y,z'
loop_
_atom_site_label
_atom_site_fract_x
_atom_site_fract_y
_atom_site_fract_z
K1 0.250 0.250 0.250
K2 0.250 0.250 0.750
K3 0.250 0.750 0.250
K4 0.250 0.750 0.750
K5 0.750 0.250 0.250
K6 0.750 0.250 0.750
K7 0.750 0.750 0.250
K8 0.750 0.750 0.750
Al1 0.000 0.000 0.000
Al2 0.000 0.500 0.500
Al3 0.500 0.000 0.500
Al4 0.500 0.500 0.000
N1 0.000 0.000 0.500
N2 0.000 0.500 0.000
N3 0.500 0.000 0.000
N4 0.500 0.500 0.500
```

The following is a PBE calculation of an optimized crystal structure of KAl3N, from Alexandria.

Output
offset from the most stable computed form = 1793 meV per atom
calculated total energy = -1.70 eV/atom
formation energy (no corrections) = 2.431 eV/atom
density of states at the Fermi level = 0.974 states/eV/atom
space group = Pm-3m, No. 221

Cell and atoms, written as CIF:
```
data_KAl3N
_chemical_formula_sum 'K1 Al3 N1'
_symmetry_space_group_name_H-M 'P 1'
_symmetry_Int_Tables_number 1
_cell_length_a 6.173
_cell_length_b 6.173
_cell_length_c 6.173
_cell_angle_alpha 90.00
_cell_angle_beta 90.00
_cell_angle_gamma 90.00
loop_
_symmetry_equiv_pos_as_xyz
'x,y,z'
loop_
_atom_site_label
_atom_site_fract_x
_atom_site_fract_y
_atom_site_fract_z
K1 0.000 0.000 0.000
Al1 0.000 0.000 0.500
Al2 0.000 0.500 0.000
Al3 0.500 0.000 0.000
N1 0.500 0.500 0.500
```

Question: Look up the calculated total energy of the fifth one.
Answer: -2.44 eV/atom

Question: Which formula does entry 5 have?
Answer: K2AlN

Question: calculated total energy of number 1 (KAl2MoPb)?
Answer: -2.62 eV/atom

Question: Among the records above, which one has the lowest calculated total energy?
Answer: KAlRe2Mo